Model 1:
VASP calculation (PBE) on crystalline RbFeTc at its relaxed geometry. Values from VASP.

Output
Theoretical density   6.65 Mg/m³

Quantum ESPRESSO input file:
```
&SYSTEM
  ibrav = 0, nat = 12, ntyp = 3
/
ATOMIC_SPECIES
Rb 85.47 Rb.upf
Fe 55.84 Fe.upf
Tc 98.00 Tc.upf
CELL_PARAMETERS angstrom
6.2051 0.0000 0.0000
0.0000 6.2051 0.0000
0.0000 0.0000 6.2051
ATOMIC_POSITIONS angstrom
Rb 0.0000 0.0000 0.0000
Rb 0.0000 3.1026 3.1026
Rb 3.1026 0.0000 3.1026
Rb 3.1026 3.1026 0.0000
Fe 1.5513 1.5513 4.6539
Fe 1.5513 4.6539 1.5513
Fe 4.6539 1.5513 1.5513
Fe 4.6539 4.6539 4.6539
Tc 1.5513 1.5513 1.5513
Tc 1.5513 4.6539 4.6539
Tc 4.6539 1.5513 4.6539
Tc 4.6539 4.6539 1.5513
```

---

Model 2:
VASP calculation (PBE) on crystalline RbFeTc at its relaxed geometry. Values from VASP.

Output
Theoretical density   6.11 Mg/m³

Quantum ESPRESSO input file:
```
&SYSTEM
  ibrav = 0, nat = 12, ntyp = 3
/
ATOMIC_SPECIES
Rb 85.47 Rb.upf
Fe 55.84 Fe.upf
Tc 98.00 Tc.upf
CELL_PARAMETERS angstrom
6.3838 0.0000 0.0000
0.0000 6.3838 0.0000
0.0000 0.0000 6.3838
ATOMIC_POSITIONS angstrom
Rb 0.0000 0.0000 0.0000
Rb 0.0000 3.1919 3.1919
Rb 3.1919 0.0000 3.1919
Rb 3.1919 3.1919 0.0000
Fe 0.0000 0.0000 3.1919
Fe 0.0000 3.1919 0.0000
Fe 3.1919 0.0000 0.0000
Fe 3.1919 3.1919 3.1919
Tc 1.5959 1.5959 1.5959
Tc 1.5959 4.7878 4.7878
Tc 4.7878 1.5959 4.7878
Tc 4.7878 4.7878 1.5959
```

---

Most stable structure: model 2